1.
Compound: Ag8Ge
Source: the Open Quantum Materials Database
Functional: PBE-GGA
Structure: relaxed

Cell and atoms, written as POSCAR:
```
Ag8Ge
1.0
4.591 -2.072 0.000
4.591 2.072 0.000
-0.171 0.000 31.545
Ag Ge
16 2
Cartesian
0.454 0.000 1.392
1.343 0.000 4.220
1.240 0.000 26.428
2.259 0.000 7.117
2.144 0.000 29.206
3.209 0.000 0.474
3.972 0.000 25.379
4.118 0.000 3.265
4.893 0.000 28.280
5.040 0.000 6.166
5.802 0.000 31.071
6.868 0.000 2.338
6.753 0.000 24.428
7.771 0.000 5.116
7.668 0.000 27.325
8.557 0.000 30.152
0.349 0.000 23.846
8.662 0.000 7.699
```

Space group   C2/m
DFT total energy   -2.91 eV/atom



2.
Compound: AgGe
Source: the Open Quantum Materials Database
Functional: PBE-GGA
Structure: relaxed

Cell and atoms, written as POSCAR:
```
AgGe
1.0
4.084 0.000 0.000
-2.042 3.537 0.000
0.000 0.000 5.667
Ag Ge
2 2
Cartesian
0.000 0.000 0.000
0.000 0.000 2.834
0.000 2.358 1.417
2.042 1.179 4.250
```

Space group   P6_3/mmc
Energy relative to the lowest polymorph listed for this composition   43 meV per atom



3.
Compound: Ag9Ge
Source: the Open Quantum Materials Database
Functional: PBE-GGA
Structure: relaxed

Cell and atoms, written as POSCAR:
```
Ag9Ge
1.0
2.907 0.000 0.000
0.000 2.907 0.000
0.000 0.000 56.150
Ag Ge
18 2
Cartesian
0.727 0.727 1.046
0.727 0.727 5.240
0.727 0.727 9.465
0.727 0.727 13.725
0.727 0.727 18.031
0.727 0.727 40.281
0.727 0.727 44.561
0.727 0.727 48.801
0.727 0.727 53.004
2.180 2.180 3.146
2.180 2.180 7.349
2.180 2.180 11.589
2.180 2.180 15.869
2.180 2.180 38.119
2.180 2.180 42.424
2.180 2.180 46.685
2.180 2.180 50.909
2.180 2.180 55.103
0.727 0.727 36.023
2.180 2.180 20.127
```

Space group   P4/nmm
Energy relative to the lowest polymorph listed for this composition   0 meV per atom



4.
Compound: Hf3Ag4Ge4
Source: the Open Quantum Materials Database
Functional: PBE-GGA
Structure: relaxed

Cell and atoms, written as POSCAR:
```
Hf3Ag4Ge4
1.0
-2.993 2.993 6.126
2.993 -2.993 6.126
2.993 2.993 -6.126
Hf Ag Ge
3 4 4
Cartesian
0.000 0.000 0.000
2.993 0.000 3.063
0.000 2.993 3.063
1.029 -1.029 4.907
1.964 1.964 1.219
-1.029 1.029 4.907
1.029 1.029 7.345
2.993 0.000 0.000
0.000 0.000 2.748
0.000 2.993 0.000
0.000 0.000 9.505
```

Space group   I-42m
Energy relative to the lowest polymorph listed for this composition   155 meV per atom



5.
Compound: Hf2Ag2Ge3
Source: the Open Quantum Materials Database
Functional: PBE-GGA
Structure: relaxed

Cell and atoms, written as POSCAR:
```
Hf2Ag2Ge3
1.0
2.198 1.269 8.356
-2.198 1.269 8.356
0.000 -2.538 8.356
Hf Ag Ge
2 2 3
Cartesian
0.000 0.000 0.000
0.000 0.000 12.482
0.000 0.000 6.195
0.000 0.000 18.805
0.000 0.000 9.809
0.000 0.000 15.636
0.000 0.000 21.585
```

Space group   R3m
DFT total energy   -5.65 eV/atom



6.
Compound: Hf2AgGe2
Source: the Open Quantum Materials Database
Functional: PBE-GGA
Structure: relaxed

Cell and atoms, written as POSCAR:
```
Hf2AgGe2
1.0
3.818 0.000 0.000
0.000 3.818 0.000
0.000 0.000 13.410
Hf Ag Ge
4 2 4
Cartesian
0.000 0.000 1.382
0.000 0.000 12.028
1.909 1.909 5.323
1.909 1.909 8.086
0.000 0.000 6.705
1.909 1.909 0.000
0.000 1.909 3.352
0.000 1.909 10.057
1.909 0.000 3.352
1.909 0.000 10.057
```

Space group   I4/mmm
DFT total energy   -6.36 eV/atom



7.
Compound: HfAgGe2
Source: the Open Quantum Materials Database
Functional: PBE-GGA
Structure: relaxed

Cell and atoms, written as POSCAR:
```
HfAgGe2
1.0
6.732 0.000 0.000
0.000 6.732 0.000
0.000 0.000 6.732
Hf Ag Ge
4 4 8
Cartesian
0.000 0.000 0.000
0.000 3.366 3.366
3.366 0.000 3.366
3.366 3.366 0.000
1.683 1.683 1.683
1.683 5.049 5.049
5.049 1.683 5.049
5.049 5.049 1.683
0.000 0.000 3.366
0.000 3.366 0.000
1.683 1.683 5.049
1.683 5.049 1.683
3.366 0.000 0.000
3.366 3.366 3.366
5.049 1.683 1.683
5.049 5.049 5.049
```

Space group   F-43m
DFT total energy   -5.35 eV/atom



8.
Compound: Hf3Ag4Ge4
Source: the Open Quantum Materials Database
Functional: PBE-GGA
Structure: relaxed

Cell and atoms, written as POSCAR:
```
Hf3Ag4Ge4
1.0
6.682 0.000 0.000
0.000 4.027 0.000
-0.181 0.000 8.010
Hf Ag Ge
3 4 4
Cartesian
0.000 0.000 0.000
0.548 2.013 2.971
3.190 0.000 7.048
1.009 2.013 5.916
2.708 0.000 2.090
4.567 2.013 1.141
5.797 0.000 4.990
1.884 2.013 0.454
2.102 0.000 4.586
5.000 2.013 6.573
5.469 0.000 2.460
```

Space group   Pm
Energy relative to the lowest polymorph listed for this composition   0 meV per atom



9.
Compound: Hf2AgGe
Source: the Open Quantum Materials Database
Functional: PBE-GGA
Structure: relaxed

Cell and atoms, written as POSCAR:
```
Hf2AgGe
1.0
6.811 0.000 0.000
0.000 6.811 0.000
0.000 0.000 6.811
Hf Ag Ge
8 4 4
Cartesian
0.000 0.000 0.000
0.000 3.406 3.406
1.703 1.703 1.703
1.703 5.108 5.108
3.406 0.000 3.406
3.406 3.406 0.000
5.108 1.703 5.108
5.108 5.108 1.703
1.703 1.703 5.108
1.703 5.108 1.703
5.108 1.703 1.703
5.108 5.108 5.108
0.000 0.000 3.406
0.000 3.406 0.000
3.406 0.000 0.000
3.406 3.406 3.406
```

Space group   F-43m
DFT total energy   -6.50 eV/atom



10.
Compound: HfAg2Ge2
Source: the Open Quantum Materials Database
Functional: PBE-GGA
Structure: relaxed

Cell and atoms, written as POSCAR:
```
HfAg2Ge2
1.0
4.046 0.000 0.000
0.000 4.046 0.000
0.000 0.000 11.912
Hf Ag Ge
2 4 4
Cartesian
0.000 0.000 0.000
2.023 2.023 5.956
0.000 0.000 4.680
0.000 0.000 7.233
2.023 2.023 1.277
2.023 2.023 10.636
0.000 2.023 2.978
0.000 2.023 8.934
2.023 0.000 2.978
2.023 0.000 8.934
```

Space group   I4/mmm
DFT total energy   -4.67 eV/atom



11.
Compound: Hf3Ag2Ge2
Source: the Open Quantum Materials Database
Functional: PBE-GGA
Structure: relaxed

Cell and atoms, written as POSCAR:
```
Hf3Ag2Ge2
1.0
2.324 1.342 7.679
-2.324 1.342 7.679
0.000 -2.683 7.679
Hf Ag Ge
3 2 2
Cartesian
0.000 0.000 0.000
0.000 0.000 5.718
0.000 0.000 11.437
0.000 0.000 2.721
0.000 0.000 14.608
0.000 0.000 8.640
0.000 0.000 20.116
```

Space group   R3m
DFT total energy   -6.47 eV/atom



12.
Compound: HfAgGe2
Source: the Open Quantum Materials Database
Functional: PBE-GGA
Structure: relaxed

Cell and atoms, written as POSCAR:
```
HfAgGe2
1.0
6.732 0.000 0.000
0.000 6.732 0.000
0.000 0.000 6.732
Hf Ag Ge
4 4 8
Cartesian
0.000 0.000 0.000
0.000 3.366 3.366
3.366 0.000 3.366
3.366 3.366 0.000
1.683 1.683 5.049
1.683 5.049 1.683
5.049 1.683 1.683
5.049 5.049 5.049
0.000 0.000 3.366
0.000 3.366 0.000
1.683 1.683 1.683
1.683 5.049 5.049
3.366 0.000 0.000
3.366 3.366 3.366
5.049 1.683 5.049
5.049 5.049 1.683
```

Space group   F-43m
DFT total energy   -5.35 eV/atom



13.
Compound: Hf3AgGe5
Source: the Open Quantum Materials Database
Functional: PBE-GGA
Structure: relaxed

Cell and atoms, written as POSCAR:
```
Hf3AgGe5
1.0
5.815 0.000 0.000
-2.908 5.036 0.000
0.000 0.000 6.837
Hf Ag Ge
3 1 5
Cartesian
-1.454 2.518 0.000
2.908 0.000 0.000
1.454 2.518 0.000
0.000 0.000 3.419
0.000 0.000 0.000
0.000 3.358 2.227
0.000 3.358 4.610
2.908 1.679 2.227
2.908 1.679 4.610
```

Space group   P6/mmm
DFT total energy   -6.05 eV/atom



14.
Compound: AgHg2Ge
Source: the Open Quantum Materials Database
Functional: PBE-GGA
Structure: relaxed

Cell and atoms, written as POSCAR:
```
AgHg2Ge
1.0
7.019 0.000 0.000
0.000 7.019 0.000
0.000 0.000 7.019
Ag Hg Ge
4 8 4
Cartesian
0.000 0.000 0.000
0.000 3.510 3.510
3.510 0.000 3.510
3.510 3.510 0.000
0.000 0.000 3.510
0.000 3.510 0.000
1.755 1.755 1.755
1.755 5.264 5.264
3.510 0.000 0.000
3.510 3.510 3.510
5.264 1.755 5.264
5.264 5.264 1.755
1.755 1.755 5.264
1.755 5.264 1.755
5.264 1.755 1.755
5.264 5.264 5.264
```

Space group   F-43m
DFT total energy   -1.74 eV/atom



15.
Compound: AgHgGe
Source: the Open Quantum Materials Database
Functional: PBE-GGA
Structure: relaxed

Cell and atoms, written as POSCAR:
```
AgHgGe
1.0
6.472 0.000 0.000
0.000 6.472 0.000
0.000 0.000 6.472
Ag Hg Ge
4 4 4
Cartesian
0.000 0.000 0.000
0.000 3.236 3.236
3.236 0.000 3.236
3.236 3.236 0.000
0.000 0.000 3.236
0.000 3.236 0.000
3.236 0.000 0.000
3.236 3.236 3.236
1.618 1.618 1.618
1.618 4.854 4.854
4.854 1.618 4.854
4.854 4.854 1.618
```

Space group   F-43m
Energy relative to the lowest polymorph listed for this composition   0 meV per atom



16.
Compound: Li4AgHgGe2
Source: the Open Quantum Materials Database
Functional: PBE-GGA
Structure: relaxed

Cell and atoms, written as POSCAR:
```
Li4AgHgGe2
1.0
4.496 0.000 0.000
0.000 4.496 0.000
0.000 0.000 6.356
Li Ag Hg Ge
4 1 1 2
Cartesian
0.000 0.000 0.000
0.000 2.248 4.713
2.248 0.000 1.643
2.248 2.248 3.178
0.000 0.000 3.178
2.248 2.248 0.000
0.000 2.248 1.661
2.248 0.000 4.694
```

Space group   P-4m2
DFT total energy   -2.82 eV/atom



17.
Compound: Ag2HgGeSeS3
Source: the Open Quantum Materials Database
Functional: PBE-GGA
Structure: relaxed

Cell and atoms, written as POSCAR:
```
Ag2HgGeSeS3
1.0
8.259 0.000 0.000
0.000 8.172 0.000
-4.076 0.000 5.847
Ag Hg Ge Se S
4 2 2 2 6
Cartesian
0.000 1.943 0.000
0.000 6.229 0.000
4.129 2.143 0.000
4.129 6.029 0.000
-2.058 4.086 2.978
2.072 0.000 2.978
-1.978 0.000 3.032
2.152 4.086 3.032
0.239 4.086 1.556
4.368 0.000 1.556
-0.180 0.000 1.648
-2.003 1.824 4.382
-2.003 6.348 4.382
3.949 4.086 1.648
2.126 2.262 4.382
2.126 5.909 4.382
```

Space group   Cm
DFT total energy   -3.52 eV/atom



18.
Compound: Ag2HgGeTe3S
Source: the Open Quantum Materials Database
Functional: PBE-GGA
Structure: relaxed

Cell and atoms, written as POSCAR:
```
Ag2HgGeTe3S
1.0
9.036 0.000 0.000
0.000 8.902 0.000
-4.382 0.000 6.102
Ag Hg Ge Te S
4 2 2 6 2
Cartesian
0.000 1.959 0.000
0.000 6.943 0.000
4.518 2.492 0.000
4.518 6.410 0.000
-1.505 4.451 3.023
3.014 0.000 3.023
-1.718 0.000 2.787
2.800 4.451 2.787
-2.048 2.055 4.445
-2.048 6.847 4.445
0.656 4.451 1.174
2.471 2.396 4.445
2.471 6.506 4.445
5.174 0.000 1.174
0.168 0.000 1.579
4.686 4.451 1.579
```

Space group   Cm
DFT total energy   -3.14 eV/atom



| no. | V (Å³/atom) |
| --- | --- |
| 1 | 33.345 |
| 2 | 20.463 |
| 3 | 23.728 |
| 4 | 19.961 |
| 5 | 19.982 |
| 6 | 19.550 |
| 7 | 19.071 |
| 8 | 19.592 |
| 9 | 19.748 |
| 10 | 19.503 |
| 11 | 20.515 |
| 12 | 19.071 |
| 13 | 22.250 |
| 14 | 21.613 |
| 15 | 22.590 |
| 16 | 16.056 |
| 17 | 24.664 |
| 18 | 30.678 |